A relaxed Tl2CrF4 crystal. Source: Alexandria via LeMat-Bulk, functional GGA+U.

Computed properties:
The calculation puts the relative energy among the computed polymorphs at 0.000 eV/atom. As for the space group: I4/mmm, No. 139. For the density of states at the Fermi level, the calculation gives 0.0 states/eV/cell.

a = 4.1088 Å, b = 4.1088 Å, c = 8.0373 Å
α = 75.19°, β = 75.19°, γ = 90.00°
Element x y z (fractional)
Cr1 0.0000 0.0000 0.0000
Tl1 0.6575 0.6575 0.6850
Tl2 0.3425 0.3425 0.3150
F1 0.8421 0.8421 0.3159
F2 0.1579 0.1579 0.6841
F3 0.0000 0.5000 0.0000
F4 0.5000 0.0000 0.0000